Density functional theory data (GGA-PBE) for a relaxed structure of MoIBr3.

abc: 7.1489 7.1562 9.0412
angles: 79.51 67.78 60.05
Fractional coordinates of all 10 atoms:
Mo1 0.0000 0.0000 0.0000
Mo2 0.3362 0.3276 0.9999
I1 0.7260 0.6628 0.8884
I2 0.8693 0.6619 0.5648
Br1 0.1882 0.0547 0.1838
Br2 0.2407 0.1824 0.8048
Br3 0.2859 0.6617 0.8087
Br4 0.5772 0.2774 0.1836
Br5 0.7616 0.1412 0.8047
Br6 0.9612 0.6655 0.1815

Output
ΔE_f (raw): -17.7 kJ/mol of atoms
ΔE to the lowest computed polymorph: 1.033 eV per formula unit
V: 37.098 Å³ per atom

***

Density functional theory data (GGA-PBE) for a relaxed structure of Ag6BiAu2.

abc: 8.4909 8.4909 2.9649
angles: 99.69 99.69 57.77
Fractional coordinates of all 9 atoms:
Ag1 0.1459 0.5031 0.8228
Ag2 0.1665 0.8335 0.0000
Ag3 0.4969 0.8541 0.1772
Ag4 0.5031 0.1459 0.8228
Ag5 0.8335 0.1665 0.0000
Ag6 0.8541 0.4969 0.1772
Bi1 0.5000 0.5000 0.5000
Au1 0.1524 0.1524 0.6503
Au2 0.8476 0.8476 0.3497

Output
V: 19.716 Å³ per atom
Energy of formation: 79 meV/atom
DOS(E_F): 0.3140 states/eV per atom

***

> Look up the V of the first one.

37.098 Å³ per atom

***

> Which value of V does entry 2 give?

19.716 Å³ per atom

***

What did the second record say?
Density functional theory data (GGA-PBE) for a relaxed structure of Ag6BiAu2.

abc: 8.4909 8.4909 2.9649
angles: 99.69 99.69 57.77
Fractional coordinates of all 9 atoms:
Ag1 0.1459 0.5031 0.8228
Ag2 0.1665 0.8335 0.0000
Ag3 0.4969 0.8541 0.1772
Ag4 0.5031 0.1459 0.8228
Ag5 0.8335 0.1665 0.0000
Ag6 0.8541 0.4969 0.1772
Bi1 0.5000 0.5000 0.5000
Au1 0.1524 0.1524 0.6503
Au2 0.8476 0.8476 0.3497

Output
V: 19.716 Å³ per atom
Energy of formation: 79 meV/atom
DOS(E_F): 0.3140 states/eV per atom

***

> Which value of V does entry 1 give?

37.098 Å³ per atom